# SiIr2Rh2 | Alexandria | PBE | optimized geometry
data_SiIr2Rh2
_chemical_formula_sum 'Si2 Ir4 Rh4'
_cell_length_a 6.112
_cell_length_b 6.112
_cell_length_c 4.043
_cell_angle_alpha 90.00
_cell_angle_beta 90.00
_cell_angle_gamma 90.00
_symmetry_space_group_name_H-M 'P 1'
_symmetry_Int_Tables_number 1
_symmetry_space_group_name_Hall 'P 1'
loop_
_atom_site_label
_atom_site_fract_x
_atom_site_fract_y
_atom_site_fract_z
Si1 0.000 0.000 0.000
Si2 0.500 0.500 0.000
Ir1 0.149 0.351 0.500
Ir2 0.351 0.851 0.500
Ir3 0.649 0.149 0.500
Ir4 0.851 0.649 0.500
Rh1 0.148 0.648 0.000
Rh2 0.352 0.148 0.000
Rh3 0.648 0.852 0.000
Rh4 0.852 0.352 0.000
# mass density	13.594	Mg/m³
# raw formation energy	0.12	eV per atom
# M_tot	0.00	μB/cell


# SiIr2Rh2 | Alexandria | PBE | optimized geometry
data_SiIr2Rh2
_chemical_formula_sum 'Si1 Ir2 Rh2'
_cell_length_a 7.028
_cell_length_b 7.028
_cell_length_c 7.028
_cell_angle_alpha 151.06
_cell_angle_beta 151.06
_cell_angle_gamma 41.38
_symmetry_space_group_name_H-M 'P 1'
_symmetry_Int_Tables_number 1
_symmetry_space_group_name_Hall 'P 1'
loop_
_atom_site_label
_atom_site_fract_x
_atom_site_fract_y
_atom_site_fract_z
Si1 0.000 0.000 0.000
Ir1 0.250 0.750 0.500
Ir2 0.750 0.250 0.500
Rh1 0.403 0.403 0.000
Rh2 0.597 0.597 0.000
# mass density	12.663	Mg/m³
# raw formation energy	0.40	eV per atom
# M_tot	0.00	μB/cell


# Si2Ir2Rh | Alexandria | PBE | optimized geometry
data_Si2Ir2Rh
_chemical_formula_sum 'Si4 Ir4 Rh2'
_cell_length_a 7.022
_cell_length_b 7.022
_cell_length_c 2.796
_cell_angle_alpha 90.00
_cell_angle_beta 90.00
_cell_angle_gamma 90.00
_symmetry_space_group_name_H-M 'P 1'
_symmetry_Int_Tables_number 1
_symmetry_space_group_name_Hall 'P 1'
loop_
_atom_site_label
_atom_site_fract_x
_atom_site_fract_y
_atom_site_fract_z
Si1 0.154 0.346 0.000
Si2 0.346 0.846 0.000
Si3 0.654 0.154 0.000
Si4 0.846 0.654 0.000
Ir1 0.144 0.644 0.500
Ir2 0.356 0.144 0.500
Ir3 0.644 0.856 0.500
Ir4 0.856 0.356 0.500
Rh1 0.000 0.000 0.000
Rh2 0.500 0.500 0.000
# mass density	13.093	Mg/m³
# raw formation energy	-0.49	eV per atom
# M_tot	0.00	μB/cell


# Si2IrRh | Alexandria | PBE | optimized geometry
data_Si2IrRh
_chemical_formula_sum 'Si2 Ir1 Rh1'
_cell_length_a 4.234
_cell_length_b 4.234
_cell_length_c 4.234
_cell_angle_alpha 60.00
_cell_angle_beta 60.00
_cell_angle_gamma 60.00
_symmetry_space_group_name_H-M 'P 1'
_symmetry_Int_Tables_number 1
_symmetry_space_group_name_Hall 'P 1'
loop_
_atom_site_label
_atom_site_fract_x
_atom_site_fract_y
_atom_site_fract_z
Si1 0.250 0.250 0.250
Si2 0.750 0.750 0.750
Ir1 0.000 0.000 0.000
Rh1 0.500 0.500 0.500
# mass density	10.866	Mg/m³
# raw formation energy	-0.42	eV per atom
# M_tot	0.00	μB/cell


# Si2Ir2Rh | Alexandria | PBE | optimized geometry
data_Si2Ir2Rh
_chemical_formula_sum 'Si2 Ir2 Rh1'
_cell_length_a 4.023
_cell_length_b 4.023
_cell_length_c 5.116
_cell_angle_alpha 90.00
_cell_angle_beta 90.00
_cell_angle_gamma 120.00
_symmetry_space_group_name_H-M 'P 1'
_symmetry_Int_Tables_number 1
_symmetry_space_group_name_Hall 'P 1'
loop_
_atom_site_label
_atom_site_fract_x
_atom_site_fract_y
_atom_site_fract_z
Si1 0.333 0.667 0.300
Si2 0.667 0.333 0.700
Ir1 0.333 0.667 0.823
Ir2 0.667 0.333 0.177
Rh1 0.000 0.000 0.500
# mass density	12.585	Mg/m³
# raw formation energy	-0.70	eV per atom
# M_tot	0.00	μB/cell


# SiIr4Rh | Alexandria | PBE | optimized geometry
data_SiIr4Rh
_chemical_formula_sum 'Si1 Ir4 Rh1'
_cell_length_a 5.153
_cell_length_b 5.153
_cell_length_c 5.153
_cell_angle_alpha 60.00
_cell_angle_beta 60.00
_cell_angle_gamma 60.00
_symmetry_space_group_name_H-M 'P 1'
_symmetry_Int_Tables_number 1
_symmetry_space_group_name_Hall 'P 1'
loop_
_atom_site_label
_atom_site_fract_x
_atom_site_fract_y
_atom_site_fract_z
Si1 0.000 0.000 0.000
Ir1 0.126 0.625 0.625
Ir2 0.625 0.126 0.625
Ir3 0.625 0.625 0.126
Ir4 0.625 0.625 0.625
Rh1 0.250 0.250 0.250
# mass density	15.446	Mg/m³
# raw formation energy	0.70	eV per atom
# M_tot	2.54	μB/cell


# Si2IrRh | Alexandria | PBE | optimized geometry
data_Si2IrRh
_chemical_formula_sum 'Si2 Ir1 Rh1'
_cell_length_a 2.857
_cell_length_b 4.597
_cell_length_c 4.164
_cell_angle_alpha 90.00
_cell_angle_beta 90.00
_cell_angle_gamma 90.00
_symmetry_space_group_name_H-M 'P 1'
_symmetry_Int_Tables_number 1
_symmetry_space_group_name_Hall 'P 1'
loop_
_atom_site_label
_atom_site_fract_x
_atom_site_fract_y
_atom_site_fract_z
Si1 0.000 0.000 0.000
Si2 0.500 0.500 0.254
Ir1 0.000 0.500 0.764
Rh1 0.500 0.000 0.484
# mass density	10.664	Mg/m³
# raw formation energy	-0.58	eV per atom
# M_tot	0.00	μB/cell


# Si2IrRh | Alexandria | PBE | optimized geometry
data_Si2IrRh
_chemical_formula_sum 'Si2 Ir1 Rh1'
_cell_length_a 2.803
_cell_length_b 2.803
_cell_length_c 7.301
_cell_angle_alpha 90.00
_cell_angle_beta 90.00
_cell_angle_gamma 90.00
_symmetry_space_group_name_H-M 'P 1'
_symmetry_Int_Tables_number 1
_symmetry_space_group_name_Hall 'P 1'
loop_
_atom_site_label
_atom_site_fract_x
_atom_site_fract_y
_atom_site_fract_z
Si1 0.000 0.000 0.000
Si2 0.500 0.500 0.301
Ir1 0.000 0.000 0.505
Rh1 0.500 0.500 0.794
# mass density	10.172	Mg/m³
# raw formation energy	-0.19	eV per atom
# M_tot	0.00	μB/cell


# Si2Ir3Rh | Alexandria | PBE | optimized geometry
data_Si2Ir3Rh
_chemical_formula_sum 'Si4 Ir6 Rh2'
_cell_length_a 4.008
_cell_length_b 7.603
_cell_length_c 5.403
_cell_angle_alpha 90.00
_cell_angle_beta 90.00
_cell_angle_gamma 90.00
_symmetry_space_group_name_H-M 'P 1'
_symmetry_Int_Tables_number 1
_symmetry_space_group_name_Hall 'P 1'
loop_
_atom_site_label
_atom_site_fract_x
_atom_site_fract_y
_atom_site_fract_z
Si1 0.000 0.145 0.000
Si2 0.000 0.855 0.500
Si3 0.500 0.350 0.428
Si4 0.500 0.650 0.928
Ir1 0.000 0.178 0.555
Ir2 0.000 0.449 0.192
Ir3 0.000 0.551 0.692
Ir4 0.000 0.822 0.055
Ir5 0.500 0.324 0.877
Ir6 0.500 0.676 0.377
Rh1 0.500 0.051 0.241
Rh2 0.500 0.949 0.741
# mass density	14.842	Mg/m³
# raw formation energy	-0.54	eV per atom
# M_tot	0.00	μB/cell


# SiIr3Rh | Alexandria | PBE | optimized geometry
data_SiIr3Rh
_chemical_formula_sum 'Si1 Ir3 Rh1'
_cell_length_a 4.703
_cell_length_b 4.703
_cell_length_c 4.703
_cell_angle_alpha 90.00
_cell_angle_beta 90.00
_cell_angle_gamma 90.00
_symmetry_space_group_name_H-M 'P 1'
_symmetry_Int_Tables_number 1
_symmetry_space_group_name_Hall 'P 1'
loop_
_atom_site_label
_atom_site_fract_x
_atom_site_fract_y
_atom_site_fract_z
Si1 0.000 0.000 0.000
Ir1 0.000 0.500 0.500
Ir2 0.500 0.000 0.500
Ir3 0.500 0.500 0.000
Rh1 0.500 0.500 0.500
# mass density	11.295	Mg/m³
# raw formation energy	2.04	eV per atom
# M_tot	0.00	μB/cell


# SiIrRh | Alexandria | PBE | optimized geometry
data_SiIrRh
_chemical_formula_sum 'Si1 Ir1 Rh1'
_cell_length_a 4.123
_cell_length_b 4.123
_cell_length_c 4.123
_cell_angle_alpha 60.00
_cell_angle_beta 60.00
_cell_angle_gamma 60.00
_symmetry_space_group_name_H-M 'P 1'
_symmetry_Int_Tables_number 1
_symmetry_space_group_name_Hall 'P 1'
loop_
_atom_site_label
_atom_site_fract_x
_atom_site_fract_y
_atom_site_fract_z
Si1 0.000 0.000 0.000
Ir1 0.250 0.250 0.250
Rh1 0.500 0.500 0.500
# mass density	10.830	Mg/m³
# raw formation energy	-0.07	eV per atom
# M_tot	0.00	μB/cell


# Si2IrRh | Alexandria | PBE | optimized geometry
data_Si2IrRh
_chemical_formula_sum 'Si2 Ir1 Rh1'
_cell_length_a 4.352
_cell_length_b 4.352
_cell_length_c 2.855
_cell_angle_alpha 90.24
_cell_angle_beta 90.24
_cell_angle_gamma 98.48
_symmetry_space_group_name_H-M 'P 1'
_symmetry_Int_Tables_number 1
_symmetry_space_group_name_Hall 'P 1'
loop_
_atom_site_label
_atom_site_fract_x
_atom_site_fract_y
_atom_site_fract_z
Si1 0.000 0.500 0.000
Si2 0.500 0.000 0.000
Ir1 0.000 0.000 0.500
Rh1 0.500 0.500 0.500
# mass density	10.909	Mg/m³
# raw formation energy	-0.43	eV per atom
# M_tot	0.00	μB/cell


# Si3IrRh | Alexandria | PBE | optimized geometry
data_Si3IrRh
_chemical_formula_sum 'Si3 Ir1 Rh1'
_cell_length_a 4.571
_cell_length_b 4.571
_cell_length_c 4.571
_cell_angle_alpha 90.00
_cell_angle_beta 90.00
_cell_angle_gamma 90.00
_symmetry_space_group_name_H-M 'P 1'
_symmetry_Int_Tables_number 1
_symmetry_space_group_name_Hall 'P 1'
loop_
_atom_site_label
_atom_site_fract_x
_atom_site_fract_y
_atom_site_fract_z
Si1 0.000 0.000 0.500
Si2 0.000 0.500 0.000
Si3 0.500 0.000 0.000
Ir1 0.000 0.000 0.000
Rh1 0.500 0.500 0.500
# mass density	6.595	Mg/m³
# raw formation energy	0.64	eV per atom
# M_tot	0.00	μB/cell


# Si2IrRh | Alexandria | PBE | optimized geometry
data_Si2IrRh
_chemical_formula_sum 'Si2 Ir1 Rh1'
_cell_length_a 3.232
_cell_length_b 3.232
_cell_length_c 5.329
_cell_angle_alpha 90.00
_cell_angle_beta 90.00
_cell_angle_gamma 90.00
_symmetry_space_group_name_H-M 'P 1'
_symmetry_Int_Tables_number 1
_symmetry_space_group_name_Hall 'P 1'
loop_
_atom_site_label
_atom_site_fract_x
_atom_site_fract_y
_atom_site_fract_z
Si1 0.000 0.000 0.000
Si2 0.500 0.500 0.294
Ir1 0.000 0.000 0.462
Rh1 0.500 0.500 0.840
# mass density	10.480	Mg/m³
# raw formation energy	-0.57	eV per atom
# M_tot	0.00	μB/cell